Crystalline SrCdSe at its relaxed geometry. Source: Alexandria, functional GGA-PBE.

## Properties
The final energy is -0.221 Ry/atom. The calculation puts the raw formation energy at -285 kJ/mol of formula units. As for the relative energy among the computed polymorphs: 123 meV/atom.

a b c (Å): 4.409 4.409 5.807
angles (deg): 90.00 90.00 120.00
Positions (direct):
Cd1 0.000 0.000 0.045
Sr1 0.333 0.667 0.621
Se1 0.667 0.333 0.334